The following is a PBE calculation of a geometry-optimized La2TlOs structure, from Alexandria.

a b c (Å): 4.3500 5.6745 8.9403
angles (deg): 90.00 90.00 90.00
Atoms (fractional coordinates):
La1 0.0000 0.0000 0.2037
La2 0.0000 0.0000 0.7963
La3 0.5000 0.5000 0.2963
La4 0.5000 0.5000 0.7037
Tl1 0.0000 0.5000 0.0000
Tl2 0.5000 0.0000 0.5000
Os1 0.0000 0.5000 0.5000
Os2 0.5000 0.0000 0.0000

Computed properties:
distance to the lowest polymorph of the same formula = 0.147 eV/atom
calculated density = 10.12 g/cm³
E = -47.3 eV/cell
magnetization = 0.00 μB per atom
formation energy from the elements = -0.0538 eV/atom
SG = Immm